VASP calculation (GGA-PBE) on Pm4TlCuHg2 after structural relaxation.

Calculated values
The calculation puts the total energy at -3.608 eV per atom. Its formation energy from the elements is -2.80 eV/f.u.

Lattice parameters (Å, degrees): 9.260 9.260 9.260 33.55 33.55 33.55
Sites, in units of the cell vectors:
Pm1 0.118 0.118 0.118
Pm2 0.368 0.368 0.368
Pm3 0.632 0.632 0.632
Pm4 0.882 0.882 0.882
Tl1 0.500 0.500 0.500
Cu1 0.000 0.000 0.000
Hg1 0.246 0.246 0.246
Hg2 0.754 0.754 0.754



VASP calculation (GGA-PBE) on PmTmCuHg after structural relaxation.

Calculated values
The calculation puts the total energy at -3.746 eV per atom. Its formation energy from the elements is -1.36 eV/f.u. Its excess energy over the best structure of this formula in the dataset is 0 meV/atom.

Lattice parameters (Å, degrees): 3.551 3.551 7.536 90.00 90.00 90.00
Sites, in units of the cell vectors:
Pm1 0.000 0.000 0.000
Tm1 0.000 0.000 0.545
Cu1 0.500 0.500 0.747
Hg1 0.500 0.500 0.288